Computed, not measured: an optimized crystal structure of Bi4Se4F3 at the GGA-PBE level of DFT.

Cell: 3.604 9.526 9.660 Å, 119.54 100.75 90.00°
Element x y z (fractional)
Se  0.669  0.856  0.338
Se  0.331  0.518  0.662
Bi  0.265  0.765  0.529
Bi  0.500  0.713  0.000
Bi  0.500  0.287  0.000
Se  0.669  0.482  0.338
F  0.141  0.141  0.282
F  0.000  0.500  0.000
F  0.859  0.859  0.718
Bi  0.735  0.235  0.471
Se  0.331  0.144  0.662

Results
magnetic moment	0.00	μB per formula unit
E	-3.944	eV/atom
formation energy (no corrections)	-0.75	eV per atom

Computed, not measured: an optimized crystal structure of BiSeF3 at the GGA-PBE level of DFT.

Cell: 4.624 4.624 4.624 Å, 90.00 90.00 90.00°
Site moments in Bohr magnetons follow the coordinates.
Element x y z (fractional)
F  0.000  0.000  0.500  0.05
F  0.500  0.000  0.000  0.06
Bi  0.000  0.000  0.000  -0.02
F  0.000  0.500  0.000  0.04
Se  0.500  0.500  0.500  1.13

Results
magnetic moment	2.00	μB per formula unit
E	-3.999	eV/atom
formation energy (no corrections)	-1.40	eV per atom
offset from the most stable computed form	443	meV/atom

Computed, not measured: an optimized crystal structure of BiSe3F at the GGA-PBE level of DFT.

Cell: 4.770 4.770 4.770 Å, 90.00 90.00 90.00°
Element x y z (fractional)
Bi  0.500  0.500  0.500
F  0.000  0.000  0.000
Se  0.500  0.000  0.000
Se  0.000  0.000  0.500
Se  0.000  0.500  0.000

Results
magnetic moment	0.00	μB per formula unit
E	-3.023	eV/atom
formation energy (no corrections)	0.22	eV per atom
offset from the most stable computed form	0	meV/atom

The lowest E belongs to which entry?
BiSeF3

Which of these has the highest formation energy (no corrections)?
BiSe3F

Please write out number 2 again, unchanged.
Computed, not measured: an optimized crystal structure of BiSeF3 at the GGA-PBE level of DFT.

Cell: 4.624 4.624 4.624 Å, 90.00 90.00 90.00°
Site moments in Bohr magnetons follow the coordinates.
Element x y z (fractional)
F  0.000  0.000  0.500  0.05
F  0.500  0.000  0.000  0.06
Bi  0.000  0.000  0.000  -0.02
F  0.000  0.500  0.000  0.04
Se  0.500  0.500  0.500  1.13

Results
magnetic moment	2.00	μB per formula unit
E	-3.999	eV/atom
formation energy (no corrections)	-1.40	eV per atom
offset from the most stable computed form	443	meV/atom